Crystalline Na2ZnF4 at its relaxed geometry. Source: Alexandria, functional PBE.

Lattice parameters (Å, degrees): 5.580 5.815 11.422 90.00 90.00 90.00
Atoms (fractional coordinates):
Na 0.006 0.071 0.153
Na 0.006 0.429 0.653
Na 0.494 0.571 0.153
Na 0.494 0.929 0.653
Na 0.506 0.071 0.347
Na 0.506 0.429 0.847
Na 0.994 0.571 0.347
Na 0.994 0.929 0.847
Zn 0.000 0.000 0.500
Zn 0.000 0.500 0.000
Zn 0.500 0.000 0.000
Zn 0.500 0.500 0.500
F 0.104 0.042 0.667
F 0.104 0.458 0.167
F 0.195 0.200 0.959
F 0.195 0.300 0.459
F 0.305 0.700 0.959
F 0.305 0.800 0.459
F 0.396 0.542 0.667
F 0.396 0.958 0.167
F 0.604 0.042 0.833
F 0.604 0.458 0.333
F 0.695 0.200 0.541
F 0.695 0.300 0.041
F 0.805 0.700 0.541
F 0.805 0.800 0.041
F 0.896 0.542 0.833
F 0.896 0.958 0.333

Raw total energy, eV/atom: -4.20
Relative energy among the computed polymorphs, eV/f.u.: 0.000
Raw formation energy, eV/atom: -2.573